1.
Entry from Alexandria: a geometry-optimized SrUMnN3 structure (PBE-GGA).

Its symmetry is P2_1/m (11). The volume is 15.23 A^3/atom. The value obtained for the total moment is 0.000 μB per atom. The calculation puts the final energy at -105.06 eV for the cell shown.

Cell lengths 7.3967, 3.4370, 7.4796 Å; angles 90.00, 105.96, 90.00 degrees
Closest atoms and distances in Å follow each position.
Element x y z (fractional)
Sr (0.1940, 0.2500, 0.2251)  7 N 2.65-2.95
Sr (0.8060, 0.7500, 0.7749)  7 N 2.65-2.95
U (0.3278, 0.7500, 0.8274)  6 N 2.24-2.43
U (0.6722, 0.2500, 0.1726)  6 N 2.24-2.43
Mn (0.0814, 0.2500, 0.5791)  4 N 1.90-2.06
Mn (0.9186, 0.7500, 0.4209)  4 N 1.90-2.06
N (0.1430, 0.2500, 0.8530)  1 Mn 1.97
N (0.1863, 0.7500, 0.4925)  3 Mn 1.90-2.06
N (0.4634, 0.7500, 0.1353)  3 U 2.25-2.28
N (0.5366, 0.2500, 0.8647)  3 U 2.25-2.28
N (0.8137, 0.2500, 0.5075)  3 Mn 1.90-2.06
N (0.8570, 0.7500, 0.1470)  1 Mn 1.97

***

2.
Entry from Alexandria: a geometry-optimized Tl2BiPtRh structure (PBE-GGA).

Its symmetry is P4/mmm (123). As for the calculated formation energy: 63.5 kJ per mole of atoms. The volume is 29.21 A^3/atom. The value obtained for the total moment is 0.000 μB per atom. The calculation puts the final energy at -18.71 eV for the cell shown.

Cell lengths 5.1522, 5.1522, 5.5022 Å; angles 90.00, 90.00, 90.00 degrees
Closest atoms and distances in Å follow each position.
Element x y z (fractional)
Tl (0.0000, 0.5000, 0.0000)  2 Pt 2.58
Tl (0.5000, 0.0000, 0.0000)  2 Pt 2.58
Bi (0.0000, 0.0000, 0.5000)  2 Pt 2.75
Pt (0.0000, 0.0000, 0.0000)  4 Tl 2.58, 2 Bi 2.75
Rh (0.5000, 0.5000, 0.5000)  4 Bi 3.64, 8 Tl 3.77

***

3.
Entry from Alexandria: a geometry-optimized Be4SiBr structure (PBE-GGA).

Its symmetry is F-43m (216). The volume is 12.44 A^3/atom. The value obtained for the total moment is 0.000 μB per atom. The calculation puts the final energy at -17.70 eV for the cell shown.

Cell lengths 4.7262, 4.7262, 4.7262 Å; angles 60.00, 60.00, 60.00 degrees
Closest atoms and distances in Å follow each position.
Element x y z (fractional)
Be (0.1208, 0.1208, 0.1208)  6 Be 2.28-2.44
Be (0.1208, 0.1208, 0.6377)  6 Be 2.28-2.44
Be (0.1208, 0.6377, 0.1208)  6 Be 2.28-2.44
Be (0.6377, 0.1208, 0.1208)  6 Be 2.28-2.44
Si (0.7500, 0.7500, 0.7500)  12 Be 2.76, 4 Br 2.89
Br (0.5000, 0.5000, 0.5000)  12 Be 2.78, 4 Si 2.89

***

4.
Entry from Alexandria: a geometry-optimized Na3PuNp2Se6 structure (PBE-GGA).

Its symmetry is C2/m (12). The volume is 26.51 A^3/atom. The value obtained for the total moment is 1.083 μB per atom. The calculation puts the final energy at -80.47 eV for the cell shown.

Cell lengths 7.2715, 7.2715, 7.3574 Å; angles 99.48, 99.48, 120.00 degrees
Closest atoms and distances in Å follow each position.
Element x y z (fractional)
Na (0.0000, 0.0000, 0.0000)  6 Se 3.04-3.07
Na (0.3343, 0.6657, 0.0000)  6 Se 3.05-3.07
Na (0.6657, 0.3343, 0.0000)  6 Se 3.05-3.07
Pu (0.5000, 0.5000, 0.5000)  6 Se 2.92-2.93
Np (0.1667, 0.8333, 0.5000)  6 Se 2.89-2.90
Np (0.8333, 0.1667, 0.5000)  6 Se 2.89-2.90
Se (0.0866, 0.4232, 0.2697)  2 Np 2.89, 1 Pu 2.92, 3 Na 3.05-3.07
Se (0.2403, 0.2403, 0.7308)  2 Np 2.90, 1 Pu 2.93, 3 Na 3.04-3.06
Se (0.4232, 0.0866, 0.2697)  2 Np 2.89, 1 Pu 2.92, 3 Na 3.05-3.07
Se (0.5768, 0.9134, 0.7303)  2 Np 2.89, 1 Pu 2.92, 3 Na 3.05-3.07
Se (0.7597, 0.7597, 0.2692)  2 Np 2.90, 1 Pu 2.93, 3 Na 3.04-3.06
Se (0.9134, 0.5768, 0.7303)  2 Np 2.89, 1 Pu 2.92, 3 Na 3.05-3.07

***

5.
Entry from Alexandria: a geometry-optimized RbTa3Tl structure (PBE-GGA).

Its symmetry is Pm-3m (221). As for the calculated formation energy: 246.5 kJ per mole of atoms. The volume is 30.00 A^3/atom. The value obtained for the total moment is 0.000 μB per atom. The calculation puts the final energy at -26.12 eV for the cell shown.

Cell lengths 5.3135, 5.3135, 5.3135 Å; angles 90.00, 90.00, 90.00 degrees
Closest atoms and distances in Å follow each position.
Element x y z (fractional)
Rb (0.0000, 0.0000, 0.0000)  12 Ta 3.76
Ta (0.0000, 0.5000, 0.5000)  2 Tl 2.66
Ta (0.5000, 0.0000, 0.5000)  2 Tl 2.66
Ta (0.5000, 0.5000, 0.0000)  2 Tl 2.66
Tl (0.5000, 0.5000, 0.5000)  6 Ta 2.66

***

6.
Entry from Alexandria: a geometry-optimized Rb3ZnH5 structure (PBE-GGA).

Its symmetry is I4/mcm (140). The volume is 20.11 A^3/atom. The value obtained for the total moment is 0.000 μB per atom. The calculation puts the final energy at -46.00 eV for the cell shown.

Cell lengths 8.0666, 8.0666, 8.0666 Å; angles 121.57, 121.57, 87.31 degrees
Closest atoms and distances in Å follow each position.
Element x y z (fractional)
Rb (0.1797, 0.6797, 0.8594)  8 H 2.89-3.09
Rb (0.2500, 0.2500, 0.0000)  2 H 2.92
Rb (0.3203, 0.1797, 0.5000)  8 H 2.89-3.09
Rb (0.6797, 0.8203, 0.5000)  8 H 2.89-3.09
Rb (0.7500, 0.7500, 0.0000)  2 H 2.92
Rb (0.8203, 0.3203, 0.1406)  8 H 2.89-3.09
Zn (0.2500, 0.7500, 0.5000)  4 H 1.67
Zn (0.7500, 0.2500, 0.5000)  4 H 1.67
H (0.0000, 0.0000, 0.0000)  6 Rb 2.89-2.92
H (0.0445, 0.7858, 0.5000)  1 Zn 1.67
H (0.2142, 0.7142, 0.2587)  1 Zn 1.67
H (0.2858, 0.5445, 0.5000)  1 Zn 1.67
H (0.4555, 0.9555, 0.7413)  1 Zn 1.67
H (0.5000, 0.5000, 0.0000)  6 Rb 2.89-2.92
H (0.5445, 0.0445, 0.2587)  1 Zn 1.67
H (0.7142, 0.4555, 0.5000)  1 Zn 1.67
H (0.7858, 0.2858, 0.7413)  1 Zn 1.67
H (0.9555, 0.2142, 0.5000)  1 Zn 1.67

***

7.
Entry from Alexandria: a geometry-optimized LiEr7Al4 structure (PBE-GGA).

Its symmetry is C2/m (12). As for the calculated formation energy: -5.0 kJ per mole of atoms. The volume is 26.09 A^3/atom. The value obtained for the total moment is 0.000 μB per atom. The calculation puts the final energy at -49.45 eV for the cell shown.

Cell lengths 7.3418, 7.3418, 10.4957 Å; angles 122.73, 122.73, 42.82 degrees
Closest atoms and distances in Å follow each position.
Element x y z (fractional)
Li (0.0000, 0.0000, 0.0000)  2 Er 2.68
Er (0.0659, 0.0659, 0.3628)  5 Al 3.02-3.24, 1 Er 3.17, 1 Li 3.37
Er (0.2178, 0.2178, 0.8778)  4 Al 3.16-3.24, 4 Er 3.17-3.45
Er (0.3218, 0.3218, 0.3790)  4 Al 2.89-3.14
Er (0.5000, 0.5000, 0.0000)  2 Li 2.68, 4 Al 2.90-2.92
Er (0.6782, 0.6782, 0.6210)  4 Al 2.89-3.14
Er (0.7822, 0.7822, 0.1222)  4 Al 3.16-3.24, 4 Er 3.17-3.45
Er (0.9341, 0.9341, 0.6372)  5 Al 3.02-3.24, 1 Er 3.17, 1 Li 3.37
Al (0.3148, 0.3148, 0.6660)  1 Al 2.80, 3 Er 2.90-3.07
Al (0.4448, 0.4448, 0.2299)  1 Al 2.80, 4 Er 2.89-3.03
Al (0.5552, 0.5552, 0.7701)  1 Al 2.80, 4 Er 2.89-3.03
Al (0.6852, 0.6852, 0.3340)  1 Al 2.80, 3 Er 2.90-3.07

***

8.
Entry from Alexandria: a geometry-optimized VNiP structure (PBE-GGA).

Its symmetry is P2_1/m (11). As for the calculated formation energy: -37.2 kJ per mole of atoms. The volume is 12.78 A^3/atom. The value obtained for the total moment is 0.000 μB per atom. The calculation puts the final energy at -42.93 eV for the cell shown.

Cell lengths 4.5364, 3.6800, 4.9274 Å; angles 90.00, 111.28, 90.00 degrees
Closest atoms and distances in Å follow each position.
Element x y z (fractional)
V (0.2385, 0.2500, 0.3867)  3 P 2.35-2.43, 2 Ni 2.57
V (0.7615, 0.7500, 0.6133)  3 P 2.35-2.43, 2 Ni 2.57
Ni (0.3477, 0.7500, 0.0716)  4 P 2.25-2.40
Ni (0.6523, 0.2500, 0.9284)  4 P 2.25-2.40
P (0.1244, 0.2500, 0.8150)  4 Ni 2.25-2.40, 3 V 2.35-2.43
P (0.8756, 0.7500, 0.1850)  4 Ni 2.25-2.40, 3 V 2.35-2.43

***

What did the eighth record say?
Entry from Alexandria: a geometry-optimized VNiP structure (PBE-GGA).

Its symmetry is P2_1/m (11). As for the calculated formation energy: -37.2 kJ per mole of atoms. The volume is 12.78 A^3/atom. The value obtained for the total moment is 0.000 μB per atom. The calculation puts the final energy at -42.93 eV for the cell shown.

Cell lengths 4.5364, 3.6800, 4.9274 Å; angles 90.00, 111.28, 90.00 degrees
Closest atoms and distances in Å follow each position.
Element x y z (fractional)
V (0.2385, 0.2500, 0.3867)  3 P 2.35-2.43, 2 Ni 2.57
V (0.7615, 0.7500, 0.6133)  3 P 2.35-2.43, 2 Ni 2.57
Ni (0.3477, 0.7500, 0.0716)  4 P 2.25-2.40
Ni (0.6523, 0.2500, 0.9284)  4 P 2.25-2.40
P (0.1244, 0.2500, 0.8150)  4 Ni 2.25-2.40, 3 V 2.35-2.43
P (0.8756, 0.7500, 0.1850)  4 Ni 2.25-2.40, 3 V 2.35-2.43

***

Repeat the second record exactly.
Entry from Alexandria: a geometry-optimized Tl2BiPtRh structure (PBE-GGA).

Its symmetry is P4/mmm (123). As for the calculated formation energy: 63.5 kJ per mole of atoms. The volume is 29.21 A^3/atom. The value obtained for the total moment is 0.000 μB per atom. The calculation puts the final energy at -18.71 eV for the cell shown.

Cell lengths 5.1522, 5.1522, 5.5022 Å; angles 90.00, 90.00, 90.00 degrees
Closest atoms and distances in Å follow each position.
Element x y z (fractional)
Tl (0.0000, 0.5000, 0.0000)  2 Pt 2.58
Tl (0.5000, 0.0000, 0.0000)  2 Pt 2.58
Bi (0.0000, 0.0000, 0.5000)  2 Pt 2.75
Pt (0.0000, 0.0000, 0.0000)  4 Tl 2.58, 2 Bi 2.75
Rh (0.5000, 0.5000, 0.5000)  4 Bi 3.64, 8 Tl 3.77

***

final energy of number 6 (Rb3ZnH5)?
-46.00 eV for the cell shown